(1)
This record from Alexandria describes an optimized crystal structure of TlGa2FeCl8. The functional is GGA-PBE.

Properties
crystal system	monoclinic

CIF file:
```
data_TlGa2FeCl8
_chemical_formula_sum 'Tl2 Ga4 Fe2 Cl16'
_symmetry_space_group_name_H-M 'C 1 2/m 1'
_symmetry_Int_Tables_number 12
_symmetry_space_group_name_Hall '-C 2y'
_cell_length_a 13.213
_cell_length_b 6.820
_cell_length_c 8.454
_cell_angle_alpha 90.00
_cell_angle_beta 113.41
_cell_angle_gamma 90.00
loop_
_atom_site_label
_atom_site_fract_x
_atom_site_fract_y
_atom_site_fract_z
Tl1 0.000 0.000 0.000
Ga1 0.189 0.000 0.662
Fe1 0.000 0.500 0.500
Cl1 0.098 0.258 0.715
Cl2 0.139 0.500 0.150
Cl3 0.182 0.000 0.399
```

***

(2)
This record from Alexandria describes an optimized crystal structure of TlGaFeCl6. The functional is GGA-PBE.

Properties
crystal system	monoclinic

CIF file:
```
data_TlGaFeCl6
_chemical_formula_sum 'Tl2 Ga2 Fe2 Cl12'
_symmetry_space_group_name_H-M 'C 1 2 1'
_symmetry_Int_Tables_number 5
_symmetry_space_group_name_Hall 'C 2y'
_cell_length_a 6.396
_cell_length_b 11.079
_cell_length_c 7.140
_cell_angle_alpha 90.00
_cell_angle_beta 90.09
_cell_angle_gamma 90.00
loop_
_atom_site_label
_atom_site_fract_x
_atom_site_fract_y
_atom_site_fract_z
Tl1 0.000 0.000 0.000
Ga1 0.000 0.333 0.500
Fe1 0.000 0.667 0.500
Cl1 0.123 0.497 0.694
Cl2 0.183 0.189 0.693
Cl3 0.193 0.814 0.694
```

***

(3)
This record from Alexandria describes an optimized crystal structure of FeGeCl3. The functional is GGA-PBE.

Properties
crystal system	cubic

CIF file:
```
data_FeGeCl3
_chemical_formula_sum 'Fe1 Ge1 Cl3'
_symmetry_space_group_name_H-M 'P m -3 m'
_symmetry_Int_Tables_number 221
_symmetry_space_group_name_Hall '-P 4 2 3'
_cell_length_a 5.141
_cell_length_b 5.141
_cell_length_c 5.141
_cell_angle_alpha 90.00
_cell_angle_beta 90.00
_cell_angle_gamma 90.00
loop_
_atom_site_label
_atom_site_fract_x
_atom_site_fract_y
_atom_site_fract_z
Fe1 0.000 0.000 0.000
Ge1 0.500 0.500 0.500
Cl1 0.000 0.500 0.500
```

***

(4)
This record from Alexandria describes an optimized crystal structure of Fe3GeCl. The functional is GGA-PBE.

Properties
crystal system	cubic

CIF file:
```
data_Fe3GeCl
_chemical_formula_sum 'Fe3 Ge1 Cl1'
_symmetry_space_group_name_H-M 'P m -3 m'
_symmetry_Int_Tables_number 221
_symmetry_space_group_name_Hall '-P 4 2 3'
_cell_length_a 4.718
_cell_length_b 4.718
_cell_length_c 4.718
_cell_angle_alpha 90.00
_cell_angle_beta 90.00
_cell_angle_gamma 90.00
loop_
_atom_site_label
_atom_site_fract_x
_atom_site_fract_y
_atom_site_fract_z
Fe1 0.000 0.000 0.500
Ge1 0.000 0.000 0.000
Cl1 0.500 0.500 0.500
```

***

Calculated raw total energy (Ha/atom), listed in the same order as above: -0.1293; -0.1362; -0.1314; -0.1983
Calculated raw formation energy (eV/atom), listed in the same order as above: -0.8812; -0.9353; 0.1490; 0.9743